1.
Material: Li3ZnO
Method: DFT, PBEsol
State: optimized geometry

For the mass density, the calculation gives 2.8 g/cm3. The formation energy without anion corrections is -0.900 eV per atom. The volume is 12.05 Å³ per atom.

It has space group Pm-3m (No. 221), with a = 3.9204 Å, b = 3.9204 Å, c = 3.9204 Å, α = 90.00°, β = 90.00° and γ = 90.00°. Symmetry generates all atoms from Li at (0.0000, 0.0000, 0.5000), Zn at (0.5000, 0.5000, 0.5000) and O at (0.0000, 0.0000, 0.0000).



2.
Material: Ni3RuCl
Method: DFT, PBEsol
State: optimized geometry

For the mass density, the calculation gives 7.9 g/cm3. The formation energy without anion corrections is 0.899 eV per atom. The volume is 13.15 Å³ per atom.

It has space group Pm-3m (No. 221), with a = 4.0361 Å, b = 4.0361 Å, c = 4.0361 Å, α = 90.00°, β = 90.00° and γ = 90.00°. Symmetry generates all atoms from Ni at (0.0000, 0.0000, 0.5000), Ru at (0.5000, 0.5000, 0.5000) and Cl at (0.0000, 0.0000, 0.0000).



3.
Material: HfMg3O4
Method: DFT, PBEsol
State: optimized geometry

For the mass density, the calculation gives 6.3 g/cm3. The formation energy without anion corrections is -2.357 eV per atom. The volume is 10.45 Å³ per atom.

It has space group Pm-3m (No. 221), with a = 4.3730 Å, b = 4.3730 Å, c = 4.3730 Å, α = 90.00°, β = 90.00° and γ = 90.00°. Symmetry generates all atoms from Hf at (0.0000, 0.0000, 0.0000), Mg at (0.0000, 0.5000, 0.5000), O at (0.0000, 0.0000, 0.5000) and O at (0.5000, 0.5000, 0.5000).



4.
Material: YOsC2
Method: DFT, PBEsol
State: optimized geometry

For the mass density, the calculation gives 11.1 g/cm3. The volume is 11.31 Å³ per atom. As for the energy relative to the elements: 290 kJ/mol of formula units.

It has space group Fm-3m (No. 225), with a = 5.6554 Å, b = 5.6554 Å, c = 5.6554 Å, α = 90.00°, β = 90.00° and γ = 90.00°. Symmetry generates all atoms from Y at (0.0000, 0.0000, 0.0000), Os at (0.0000, 0.0000, 0.5000) and C at (0.2500, 0.2500, 0.2500).